[1]
# KTe2Pb2 | the Alexandria database | meta-GGA SCAN | PBEsol geometry
# Crystal system: tetragonal
# Formation energy without anion corrections in eV/atom: -0.509
# ρ in kg/m³: 6367
data_KTe2Pb2
_cell_length_a 5.920
_cell_length_b 5.920
_cell_length_c 10.549
_cell_angle_alpha 90.00
_cell_angle_beta 90.00
_cell_angle_gamma 90.00
_symmetry_space_group_name_H-M 'I 4/m m m'
_symmetry_Int_Tables_number 139
_symmetry_space_group_name_Hall '-I 4 2'
loop_
_atom_site_label
_atom_site_type_symbol
_atom_site_fract_x
_atom_site_fract_y
_atom_site_fract_z
K1 K 0.000 0.000 0.000
Te1 Te 0.000 0.500 0.250
Pb1 Pb 0.000 0.000 0.350

[2]
# BaCaTcAg2 | the Alexandria database | meta-GGA SCAN | PBEsol geometry
# Crystal system: tetragonal
# E_form in eV/f.u.: 6.91
# ρ in kg/m³: 5088
data_BaCaTcAg2
_cell_length_a 5.635
_cell_length_b 5.635
_cell_length_c 5.049
_cell_angle_alpha 90.00
_cell_angle_beta 90.00
_cell_angle_gamma 90.00
_symmetry_space_group_name_H-M 'P 4/m m m'
_symmetry_Int_Tables_number 123
_symmetry_space_group_name_Hall '-P 4 2'
loop_
_atom_site_label
_atom_site_type_symbol
_atom_site_fract_x
_atom_site_fract_y
_atom_site_fract_z
Ba1 Ba 0.000 0.000 0.000
Ca1 Ca 0.500 0.500 0.500
Tc1 Tc 0.000 0.000 0.500
Ag1 Ag 0.000 0.500 0.000

[3]
# K2AlCu | the Alexandria database | meta-GGA SCAN | PBEsol geometry
# Crystal system: orthorhombic
# E_form in eV/f.u.: 0.98
# ρ in kg/m³: 2218
data_K2AlCu
_cell_length_a 3.918
_cell_length_b 5.872
_cell_length_c 10.982
_cell_angle_alpha 90.00
_cell_angle_beta 90.00
_cell_angle_gamma 90.00
_symmetry_space_group_name_H-M 'I m m 2'
_symmetry_Int_Tables_number 44
_symmetry_space_group_name_Hall 'I 2 -2'
loop_
_atom_site_label
_atom_site_type_symbol
_atom_site_fract_x
_atom_site_fract_y
_atom_site_fract_z
K1 K 0.000 0.000 0.000
K2 K 0.000 0.500 0.188
Al1 Al 0.000 0.500 0.797
Cu1 Cu 0.000 0.000 0.415

[4]
# BaNi2Te | the Alexandria database | meta-GGA SCAN | PBEsol geometry
# Crystal system: tetragonal
# Formation energy without anion corrections in eV/atom: 0.330
# ρ in kg/m³: 7889
data_BaNi2Te
_cell_length_a 4.682
_cell_length_b 4.682
_cell_length_c 3.671
_cell_angle_alpha 90.00
_cell_angle_beta 90.00
_cell_angle_gamma 90.00
_symmetry_space_group_name_H-M 'P 4/m m m'
_symmetry_Int_Tables_number 123
_symmetry_space_group_name_Hall '-P 4 2'
loop_
_atom_site_label
_atom_site_type_symbol
_atom_site_fract_x
_atom_site_fract_y
_atom_site_fract_z
Ba1 Ba 0.000 0.000 0.000
Ni1 Ni 0.000 0.500 0.500
Te1 Te 0.500 0.500 0.000

[5]
# DyCo3P2 | the Alexandria database | meta-GGA SCAN | PBEsol geometry
# Crystal system: orthorhombic
# E_form in eV/f.u.: -5.41
# ρ in kg/m³: 8809
data_DyCo3P2
_cell_length_a 3.638
_cell_length_b 10.376
_cell_length_c 12.022
_cell_angle_alpha 90.00
_cell_angle_beta 90.00
_cell_angle_gamma 90.00
_symmetry_space_group_name_H-M 'P m m n'
_symmetry_Int_Tables_number 59
loop_
_symmetry_equiv_pos_as_xyz
'x,y,z'
'-x,-y,-z'
'-x+1/2,-y+1/2,z'
'x+1/2,y+1/2,-z'
'x+1/2,-y,-z'
'-x+1/2,y,z'
'-x,y+1/2,-z'
'x,-y+1/2,z'
loop_
_atom_site_label
_atom_site_type_symbol
_atom_site_fract_x
_atom_site_fract_y
_atom_site_fract_z
Dy1 Dy 0.250 0.067 0.206
Dy2 Dy 0.250 0.250 0.478
Co1 Co 0.250 0.130 0.710
Co2 Co 0.250 0.250 0.014
Co3 Co 0.250 0.548 0.430
Co4 Co 0.250 0.583 0.995
Co5 Co 0.250 0.750 0.159
Co6 Co 0.250 0.750 0.703
P1 P 0.250 0.098 0.893
P2 P 0.250 0.560 0.616
P3 P 0.250 0.750 0.344
P4 P 0.250 0.750 0.883

[6]
# LiLaHgW2 | the Alexandria database | meta-GGA SCAN | PBEsol geometry
# Crystal system: tetragonal
# E_form in eV/f.u.: 10.59
# ρ in kg/m³: 8322
data_LiLaHgW2
_cell_length_a 5.005
_cell_length_b 5.005
_cell_length_c 5.688
_cell_angle_alpha 90.00
_cell_angle_beta 90.00
_cell_angle_gamma 90.00
_symmetry_space_group_name_H-M 'P 4/m m m'
_symmetry_Int_Tables_number 123
_symmetry_space_group_name_Hall '-P 4 2'
loop_
_atom_site_label
_atom_site_type_symbol
_atom_site_fract_x
_atom_site_fract_y
_atom_site_fract_z
Li1 Li 0.000 0.000 0.000
La1 La 0.500 0.500 0.000
Hg1 Hg 0.500 0.500 0.500
W1 W 0.000 0.500 0.500

[7]
# Be2CuW | the Alexandria database | meta-GGA SCAN | PBEsol geometry
# Crystal system: tetragonal
# E_form in eV/f.u.: -0.27
# E above lowest polymorph in meV per atom: 0
# ρ in kg/m³: 10296
data_Be2CuW
_cell_length_a 2.636
_cell_length_b 2.636
_cell_length_c 6.159
_cell_angle_alpha 90.00
_cell_angle_beta 90.00
_cell_angle_gamma 90.00
_symmetry_space_group_name_H-M 'P 4/m m m'
_symmetry_Int_Tables_number 123
_symmetry_space_group_name_Hall '-P 4 2'
loop_
_atom_site_label
_atom_site_type_symbol
_atom_site_fract_x
_atom_site_fract_y
_atom_site_fract_z
Be1 Be 0.000 0.000 0.213
Cu1 Cu 0.500 0.500 0.000
W1 W 0.500 0.500 0.500

[8]
# LaSbSe | the Alexandria database | meta-GGA SCAN | PBEsol geometry
# Crystal system: monoclinic
# Formation energy without anion corrections in eV/atom: -1.719
# ρ in kg/m³: 6948
data_LaSbSe
_cell_length_a 4.218
_cell_length_b 18.226
_cell_length_c 5.968
_cell_angle_alpha 90.00
_cell_angle_beta 134.95
_cell_angle_gamma 90.00
_symmetry_space_group_name_H-M 'P 1 21/c 1'
_symmetry_Int_Tables_number 14
_symmetry_space_group_name_Hall '-P 2ybc'
loop_
_atom_site_label
_atom_site_type_symbol
_atom_site_fract_x
_atom_site_fract_y
_atom_site_fract_z
La1 La 0.003 0.149 0.255
Sb1 Sb 0.488 0.000 0.242
Se1 Se 0.003 0.184 0.755

[9]
# Ba3TiNb4O15 | the Alexandria database | meta-GGA SCAN | PBEsol geometry
# Crystal system: monoclinic
# Formation energy without anion corrections in eV/atom: -3.061
# E above lowest polymorph in meV per atom: 5
# ρ in kg/m³: 5537
data_Ba3TiNb4O15
_cell_length_a 4.014
_cell_length_b 12.639
_cell_length_c 12.667
_cell_angle_alpha 90.00
_cell_angle_beta 90.01
_cell_angle_gamma 90.00
_symmetry_space_group_name_H-M 'P 1 c 1'
_symmetry_Int_Tables_number 7
_symmetry_space_group_name_Hall 'P -2yc'
loop_
_atom_site_label
_atom_site_type_symbol
_atom_site_fract_x
_atom_site_fract_y
_atom_site_fract_z
Ba1 Ba 0.000 0.053 0.000
Ba2 Ba 0.010 0.247 0.647
Ba3 Ba 0.997 0.394 0.347
Ti1 Ti 0.534 0.175 0.442
Nb1 Nb 0.454 0.247 0.154
Nb2 Nb 0.517 0.037 0.734
Nb3 Nb 0.518 0.462 0.580
Nb4 Nb 0.528 0.327 0.869
O1 O 0.490 0.250 0.304
O2 O 0.493 0.108 0.575
O3 O 0.494 0.320 0.501
O4 O 0.495 0.467 0.929
O5 O 0.496 0.031 0.368
O6 O 0.496 0.091 0.141
O7 O 0.497 0.182 0.783
O8 O 0.498 0.240 0.990
O9 O 0.498 0.387 0.712
O10 O 0.498 0.405 0.155
O11 O 0.983 0.176 0.441
O12 O 0.988 0.247 0.146
O13 O 0.997 0.456 0.565
O14 O 0.998 0.041 0.720
O15 O 0.999 0.328 0.851

[10]
# Sc2Hg | the Alexandria database | meta-GGA SCAN | PBEsol geometry
# Crystal system: orthorhombic
# E_form in eV/f.u.: -1.43
# ρ in kg/m³: 7433
data_Sc2Hg
_cell_length_a 3.490
_cell_length_b 15.344
_cell_length_c 4.848
_cell_angle_alpha 90.00
_cell_angle_beta 90.00
_cell_angle_gamma 90.00
_symmetry_space_group_name_H-M 'C m c m'
_symmetry_Int_Tables_number 63
_symmetry_space_group_name_Hall '-C 2c 2'
loop_
_atom_site_label
_atom_site_type_symbol
_atom_site_fract_x
_atom_site_fract_y
_atom_site_fract_z
Sc1 Sc 0.000 0.084 0.250
Sc2 Sc 0.000 0.232 0.750
Hg1 Hg 0.000 0.417 0.250

[11]
# SrCrIn2Hg | the Alexandria database | meta-GGA SCAN | PBEsol geometry
# Crystal system: tetragonal
# E_form in eV/f.u.: 2.04
# ρ in kg/m³: 5597
data_SrCrIn2Hg
_cell_length_a 5.347
_cell_length_b 5.347
_cell_length_c 5.913
_cell_angle_alpha 90.00
_cell_angle_beta 90.00
_cell_angle_gamma 90.00
_symmetry_space_group_name_H-M 'P 4/m m m'
_symmetry_Int_Tables_number 123
_symmetry_space_group_name_Hall '-P 4 2'
loop_
_atom_site_label
_atom_site_type_symbol
_atom_site_fract_x
_atom_site_fract_y
_atom_site_fract_z
Sr1 Sr 0.000 0.000 0.000
Cr1 Cr 0.500 0.500 0.000
In1 In 0.000 0.500 0.500
Hg1 Hg 0.000 0.000 0.500

[12]
# InPtAu2 | the Alexandria database | meta-GGA SCAN | PBEsol geometry
# Crystal system: trigonal
# E_form in eV/f.u.: 0.30
# ρ in kg/m³: 16639
data_InPtAu2
_cell_length_a 3.0276
_cell_length_b 3.0276
_cell_length_c 26.5466
_cell_angle_alpha 90.00
_cell_angle_beta 90.00
_cell_angle_gamma 120.00
_symmetry_space_group_name_H-M 'R -3 m'
_symmetry_Int_Tables_number 166
_symmetry_space_group_name_Hall '-R 3 2"'
loop_
_atom_site_label
_atom_site_type_symbol
_atom_site_fract_x
_atom_site_fract_y
_atom_site_fract_z
In1 In 0.0000 0.0000 0.0000
Pt1 Pt 0.0000 0.0000 0.5000
Au1 Au 0.0000 0.0000 0.2481

[13]
# KSb2Rh | the Alexandria database | meta-GGA SCAN | PBEsol geometry
# Crystal system: monoclinic
# Formation energy without anion corrections in eV/atom: -0.492
# E above lowest polymorph in meV per atom: 0
# ρ in kg/m³: 5907
data_KSb2Rh
_cell_length_a 7.375
_cell_length_b 4.243
_cell_length_c 7.343
_cell_angle_alpha 90.00
_cell_angle_beta 109.36
_cell_angle_gamma 90.00
_symmetry_space_group_name_H-M 'C 1 2/m 1'
_symmetry_Int_Tables_number 12
_symmetry_space_group_name_Hall '-C 2y'
loop_
_atom_site_label
_atom_site_type_symbol
_atom_site_fract_x
_atom_site_fract_y
_atom_site_fract_z
K1 K 0.000 0.000 0.000
Sb1 Sb 0.216 0.000 0.647
Rh1 Rh 0.000 0.500 0.500

[14]
# BaPdW2 | the Alexandria database | meta-GGA SCAN | PBEsol geometry
# Crystal system: cubic
# E_form in eV/f.u.: 6.96
# ρ in kg/m³: 14036
data_BaPdW2
_cell_length_a 6.614
_cell_length_b 6.614
_cell_length_c 6.614
_cell_angle_alpha 90.00
_cell_angle_beta 90.00
_cell_angle_gamma 90.00
_symmetry_space_group_name_H-M 'F m -3 m'
_symmetry_Int_Tables_number 225
_symmetry_space_group_name_Hall '-F 4 2 3'
loop_
_atom_site_label
_atom_site_type_symbol
_atom_site_fract_x
_atom_site_fract_y
_atom_site_fract_z
Ba1 Ba 0.000 0.000 0.000
Pd1 Pd 0.000 0.000 0.500
W1 W 0.250 0.250 0.250

[15]
# Sr2NiSnSe | the Alexandria database | meta-GGA SCAN | PBEsol geometry
# Crystal system: tetragonal
# Formation energy without anion corrections in eV/atom: -0.052
# ρ in kg/m³: 4116
data_Sr2NiSnSe
_cell_length_a 5.679
_cell_length_b 5.679
_cell_length_c 5.400
_cell_angle_alpha 90.00
_cell_angle_beta 90.00
_cell_angle_gamma 90.00
_symmetry_space_group_name_H-M 'P 4/m m m'
_symmetry_Int_Tables_number 123
_symmetry_space_group_name_Hall '-P 4 2'
loop_
_atom_site_label
_atom_site_type_symbol
_atom_site_fract_x
_atom_site_fract_y
_atom_site_fract_z
Sr1 Sr 0.000 0.500 0.000
Ni1 Ni 0.000 0.000 0.500
Sn1 Sn 0.500 0.500 0.500
Se1 Se 0.500 0.500 0.000

[16]
# FeNi2Os | the Alexandria database | meta-GGA SCAN | PBEsol geometry
# Crystal system: cubic
# E_form in eV/f.u.: 0.57
# E above lowest polymorph in meV per atom: 0
# ρ in kg/m³: 13070
data_FeNi2Os
_cell_length_a 5.695
_cell_length_b 5.695
_cell_length_c 5.695
_cell_angle_alpha 90.00
_cell_angle_beta 90.00
_cell_angle_gamma 90.00
_symmetry_space_group_name_H-M 'F -4 3 m'
_symmetry_Int_Tables_number 216
_symmetry_space_group_name_Hall 'F -4 2 3'
loop_
_atom_site_label
_atom_site_type_symbol
_atom_site_fract_x
_atom_site_fract_y
_atom_site_fract_z
Fe1 Fe 0.000 0.000 0.000
Ni1 Ni 0.000 0.000 0.500
Ni2 Ni 0.250 0.250 0.250
Os1 Os 0.250 0.250 0.750

[17]
# MnZnCr2Mo | the Alexandria database | meta-GGA SCAN | PBEsol geometry
# Crystal system: tetragonal
# E_form in eV/f.u.: 6.20
# ρ in kg/m³: 5807
data_MnZnCr2Mo
_cell_length_a 4.448
_cell_length_b 4.448
_cell_length_c 4.630
_cell_angle_alpha 90.00
_cell_angle_beta 90.00
_cell_angle_gamma 90.00
_symmetry_space_group_name_H-M 'P 4/m m m'
_symmetry_Int_Tables_number 123
_symmetry_space_group_name_Hall '-P 4 2'
loop_
_atom_site_label
_atom_site_type_symbol
_atom_site_fract_x
_atom_site_fract_y
_atom_site_fract_z
Mn1 Mn 0.000 0.000 0.000
Zn1 Zn 0.500 0.500 0.500
Cr1 Cr 0.000 0.500 0.500
Mo1 Mo 0.500 0.500 0.000

[18]
# BiPtN2F | the Alexandria database | meta-GGA SCAN | PBEsol geometry
# Crystal system: tetragonal
# Formation energy without anion corrections in eV/atom: 0.662
# ρ in kg/m³: 11311
data_BiPtN2F
_cell_length_a 3.986
_cell_length_b 3.986
_cell_length_c 4.167
_cell_angle_alpha 90.00
_cell_angle_beta 90.00
_cell_angle_gamma 90.00
_symmetry_space_group_name_H-M 'P 4/m m m'
_symmetry_Int_Tables_number 123
_symmetry_space_group_name_Hall '-P 4 2'
loop_
_atom_site_label
_atom_site_type_symbol
_atom_site_fract_x
_atom_site_fract_y
_atom_site_fract_z
Bi1 Bi 0.000 0.000 0.000
Pt1 Pt 0.500 0.500 0.500
N1 N 0.000 0.500 0.500
F1 F 0.500 0.500 0.000

[19]
# ZrTlNi2 | the Alexandria database | meta-GGA SCAN | PBEsol geometry
# Crystal system: orthorhombic
# E_form in eV/f.u.: -0.07
# ρ in kg/m³: 10827
data_ZrTlNi2
_cell_length_a 3.677
_cell_length_b 4.151
_cell_length_c 8.300
_cell_angle_alpha 90.00
_cell_angle_beta 90.00
_cell_angle_gamma 90.00
_symmetry_space_group_name_H-M 'I m m 2'
_symmetry_Int_Tables_number 44
_symmetry_space_group_name_Hall 'I 2 -2'
loop_
_atom_site_label
_atom_site_type_symbol
_atom_site_fract_x
_atom_site_fract_y
_atom_site_fract_z
Zr1 Zr 0.000 0.000 0.000
Tl1 Tl 0.000 0.500 0.763
Ni1 Ni 0.000 0.000 0.515
Ni2 Ni 0.000 0.500 0.253

[20]
# LaFeSe2 | the Alexandria database | meta-GGA SCAN | PBEsol geometry
# Crystal system: orthorhombic
# Formation energy without anion corrections in eV/atom: -1.019
# E above lowest polymorph in meV per atom: 204
# ρ in kg/m³: 6696
data_LaFeSe2
_cell_length_a 3.630
_cell_length_b 3.815
_cell_length_c 12.632
_cell_angle_alpha 90.00
_cell_angle_beta 90.00
_cell_angle_gamma 90.00
_symmetry_space_group_name_H-M 'I m m 2'
_symmetry_Int_Tables_number 44
_symmetry_space_group_name_Hall 'I 2 -2'
loop_
_atom_site_label
_atom_site_type_symbol
_atom_site_fract_x
_atom_site_fract_y
_atom_site_fract_z
La1 La 0.000 0.000 0.000
Fe1 Fe 0.000 0.500 0.254
Se1 Se 0.000 0.000 0.608
Se2 Se 0.000 0.500 0.823